[1]
Below is a geometry-optimized Y2Al2CdRh5 structure, with properties calculated at the PBE level.

## Properties
symmetry = No. 127
energy relative to the elements = -757 meV/atom
total moment = 0.0 μB/cell
total DFT energy (no corrections) = -0.24128 hartree per atom

a = 9.9768 Å, b = 9.9768 Å, c = 3.5021 Å
α = 90.00°, β = 90.00°, γ = 90.00°
Last column: nearest neighbours and their distance in Å.
Positions (direct):
Y 0.1761 0.3239 0.0000  3 Al 2.85-3.02, 6 Rh 3.04-3.11
Y 0.3239 0.8239 0.0000  3 Al 2.85-3.02, 6 Rh 3.04-3.11
Y 0.6761 0.1761 0.0000  3 Al 2.85-3.02, 6 Rh 3.04-3.11
Y 0.8239 0.6761 0.0000  3 Al 2.85-3.02, 6 Rh 3.04-3.11
Al 0.1218 0.6218 0.0000  6 Rh 2.45-2.47
Al 0.3782 0.1218 0.0000  6 Rh 2.45-2.47
Al 0.6218 0.8782 0.0000  6 Rh 2.45-2.47
Al 0.8782 0.3782 0.0000  6 Rh 2.45-2.47
Cd 0.0000 0.0000 0.0000  8 Rh 2.82
Cd 0.5000 0.5000 0.0000  8 Rh 2.82
Rh 0.0000 0.5000 0.5000  4 Al 2.45
Rh 0.0683 0.7887 0.5000  2 Al 2.47
Rh 0.2113 0.0683 0.5000  2 Al 2.47
Rh 0.2887 0.5683 0.5000  2 Al 2.47
Rh 0.4317 0.2887 0.5000  2 Al 2.47
Rh 0.5000 0.0000 0.5000  4 Al 2.45
Rh 0.5683 0.7113 0.5000  2 Al 2.47
Rh 0.7113 0.4317 0.5000  2 Al 2.47
Rh 0.7887 0.9317 0.5000  2 Al 2.47
Rh 0.9317 0.2113 0.5000  2 Al 2.47


[2]
Below is a geometry-optimized V2TcOs2 structure, with properties calculated at the PBE level.

## Properties
symmetry = No. 127
energy relative to the elements = 55 meV/atom
total moment = 0.0 μB/cell
total DFT energy (no corrections) = -0.37327 hartree per atom
energy above the lowest structure with this stoichiometry = 0.00 eV per formula unit

a = 7.1444 Å, b = 7.1444 Å, c = 2.8317 Å
α = 90.00°, β = 90.00°, γ = 90.00°
Last column: nearest neighbours and their distance in Å.
Positions (direct):
V 0.1501 0.3499 0.0000  6 Os 2.46-2.58, 2 Tc 2.72
V 0.3499 0.8499 0.0000  6 Os 2.46-2.58, 2 Tc 2.72
V 0.6501 0.1501 0.0000  6 Os 2.46-2.58, 2 Tc 2.72
V 0.8499 0.6501 0.0000  6 Os 2.46-2.58, 2 Tc 2.72
Tc 0.0000 0.0000 0.0000  4 V 2.72, 2 Tc 2.83
Tc 0.5000 0.5000 0.0000  4 V 2.72, 2 Tc 2.83
Os 0.1511 0.6511 0.5000  6 V 2.46-2.58
Os 0.3489 0.1511 0.5000  6 V 2.46-2.58
Os 0.6511 0.8489 0.5000  6 V 2.46-2.58
Os 0.8489 0.3489 0.5000  6 V 2.46-2.58